Entry 1:
Sr3CoGe2O9 | PBE+U | relaxed Values from VASP.

Quantum ESPRESSO input file:
```
&SYSTEM
  ibrav = 0, nat = 15, ntyp = 4
/
ATOMIC_SPECIES
O 16.00 O.upf
Co 58.93 Co.upf
Ge 72.64 Ge.upf
Sr 87.62 Sr.upf
CELL_PARAMETERS angstrom
-5.267 -1.420 -0.610
3.281 0.326 -4.388
1.662 -6.489 0.760
ATOMIC_POSITIONS crystal
O 0.830 0.660 0.672
O 0.000 0.500 0.000
O 0.660 0.830 0.328
Co 0.000 0.000 0.500
O 0.500 0.000 0.000
O 0.340 0.170 0.672
Ge 0.667 0.333 0.834
Sr 0.000 0.000 0.000
O 0.500 0.500 0.000
Ge 0.333 0.667 0.166
Sr 0.333 0.667 0.664
O 0.830 0.170 0.672
O 0.170 0.340 0.328
Sr 0.667 0.333 0.336
O 0.170 0.830 0.328
```

Summary:
**Magnetization**: 5.06 Bohr magnetons per cell
**DFT total energy**: -93.6 eV/f.u.
**V**: 11.7 Å³/atom


Entry 2:
SrCoGeO4 | PBE+U | relaxed Values from VASP.

Quantum ESPRESSO input file:
```
&SYSTEM
  ibrav = 0, nat = 14, ntyp = 4
/
ATOMIC_SPECIES
O 16.00 O.upf
Ge 72.64 Ge.upf
Co 58.93 Co.upf
Sr 87.62 Sr.upf
CELL_PARAMETERS angstrom
-4.522 -3.007 -0.663
3.137 -4.735 0.086
0.717 0.593 6.527
ATOMIC_POSITIONS crystal
O 0.966 0.022 0.701
O 0.483 0.250 0.433
O 0.397 0.750 0.112
Ge 0.276 0.750 0.333
Co 0.845 0.750 0.478
Sr 0.261 0.250 0.054
Co 0.155 0.250 0.522
O 0.517 0.750 0.567
Sr 0.739 0.750 0.946
Ge 0.724 0.250 0.667
O 0.034 0.978 0.299
O 0.603 0.250 0.888
O 0.966 0.478 0.701
O 0.034 0.522 0.299
```

Summary:
**Magnetization**: 5.94 Bohr magnetons per cell
**DFT total energy**: -44.0 eV/f.u.
**V**: 14.1 Å³/atom


Entry 3:
SrCoGe2O6 | PBE+U | relaxed Values from VASP.

Quantum ESPRESSO input file:
```
&SYSTEM
  ibrav = 0, nat = 20, ntyp = 4
/
ATOMIC_SPECIES
Sr 87.62 Sr.upf
O 16.00 O.upf
Co 58.93 Co.upf
Ge 72.64 Ge.upf
CELL_PARAMETERS angstrom
-5.097 2.196 0.476
-2.873 -1.757 -6.131
-3.660 -5.441 2.436
ATOMIC_POSITIONS crystal
Sr 0.250 0.806 0.194
O 0.131 0.478 0.309
O 0.869 0.522 0.691
O 0.811 0.884 0.403
O 0.021 0.835 0.875
O 0.311 0.403 0.884
Co 0.250 0.407 0.593
O 0.479 0.125 0.165
O 0.689 0.597 0.116
Ge 0.791 0.684 0.877
O 0.631 0.309 0.478
Co 0.750 0.593 0.407
Sr 0.750 0.194 0.806
O 0.189 0.116 0.597
Ge 0.709 0.123 0.316
Ge 0.209 0.316 0.123
O 0.979 0.165 0.125
O 0.369 0.691 0.522
Ge 0.291 0.877 0.684
O 0.521 0.875 0.835
```

Summary:
**Magnetization**: 6.03 Bohr magnetons per cell
**DFT total energy**: -64.6 eV/f.u.
**V**: 13.0 Å³/atom


Entry 4:
TaCoGeO6 | PBE+U | relaxed Values from VASP.

Quantum ESPRESSO input file:
```
&SYSTEM
  ibrav = 0, nat = 18, ntyp = 4
/
ATOMIC_SPECIES
O 16.00 O.upf
Ta 180.95 Ta.upf
Co 58.93 Co.upf
Ge 72.64 Ge.upf
CELL_PARAMETERS angstrom
-2.937 -2.238 2.854
0.754 -3.969 -2.337
6.711 -1.910 5.409
ATOMIC_POSITIONS crystal
O 0.202 0.798 0.833
O 0.298 0.298 0.333
O 0.311 0.311 0.995
Ta 0.500 0.500 0.170
O 0.688 0.688 0.670
Co 0.500 0.500 0.501
Ta 0.000 0.000 0.670
O 0.689 0.689 0.995
O 0.812 0.188 0.170
O 0.312 0.312 0.670
Ge 0.000 0.000 0.334
O 0.811 0.189 0.495
O 0.702 0.702 0.333
O 0.798 0.202 0.833
Ge 0.500 0.500 0.834
O 0.189 0.811 0.495
Co 0.000 0.000 0.001
O 0.188 0.812 0.170
```

Summary:
**Magnetization**: 4.00 Bohr magnetons per cell
**DFT total energy**: -67.9 eV/f.u.
**V**: 10.7 Å³/atom